1.
# ZnGeSO PBE-GGA optimized geometry
data_ZnGeSO
_chemical_formula_sum 'Zn4 Ge4 S4 O4'
_space_group_name_H-M_alt 'P 21 21 21'
_space_group_IT_number 19
_cell_length_a 5.416
_cell_length_b 6.722
_cell_length_c 7.932
_cell_angle_alpha 90.00
_cell_angle_beta 90.00
_cell_angle_gamma 90.00
loop_
_space_group_symop_operation_xyz
'x,y,z'
'-x+1/2,-y,z+1/2'
'x+1/2,-y+1/2,-z'
'-x,y+1/2,-z+1/2'
loop_
_atom_site_label
_atom_site_fract_x
_atom_site_fract_y
_atom_site_fract_z
Zn1 0.011 0.118 0.095
Ge1 0.057 0.136 0.407
S1 0.072 0.388 0.914
O1 0.122 0.851 0.005
# * V: 289 Å³ per cell
# * DFT total energy: -4.628 eV per atom
# * offset from the most stable computed form: 0.000 eV per atom

---

2.
# ZnGeSO PBE-GGA optimized geometry
data_ZnGeSO
_chemical_formula_sum 'Zn2 Ge2 S2 O2'
_space_group_name_H-M_alt 'P 4/n m m'
_space_group_IT_number 129
_cell_length_a 4.707
_cell_length_b 4.707
_cell_length_c 6.663
_cell_angle_alpha 90.00
_cell_angle_beta 90.00
_cell_angle_gamma 90.00
loop_
_space_group_symop_operation_xyz
'x,y,z'
'-x,-y,-z'
'-y+1/2,x,z'
'y+1/2,-x,-z'
'-x+1/2,-y+1/2,z'
'x+1/2,y+1/2,-z'
'y,-x+1/2,z'
'-y,x+1/2,-z'
'x+1/2,-y,-z'
'-x+1/2,y,z'
'-y,-x,-z'
'y,x,z'
'-x,y+1/2,-z'
'x,-y+1/2,z'
'y+1/2,x+1/2,-z'
'-y+1/2,-x+1/2,z'
loop_
_atom_site_label
_atom_site_fract_x
_atom_site_fract_y
_atom_site_fract_z
Zn1 0.250 0.250 0.120
Ge1 0.250 0.250 0.670
S1 0.250 0.750 0.000
O1 0.250 0.250 0.413
# * V: 148 Å³ per cell
# * DFT total energy: -4.306 eV per atom
# * offset from the most stable computed form: 0.323 eV per atom

---

3.
# ZnGeSO PBE-GGA optimized geometry
data_ZnGeSO
_chemical_formula_sum 'Zn2 Ge2 S2 O2'
_space_group_name_H-M_alt 'P 4/n m m'
_space_group_IT_number 129
_cell_length_a 3.928
_cell_length_b 3.928
_cell_length_c 8.251
_cell_angle_alpha 90.00
_cell_angle_beta 90.00
_cell_angle_gamma 90.00
loop_
_space_group_symop_operation_xyz
'x,y,z'
'-x,-y,-z'
'-y+1/2,x,z'
'y+1/2,-x,-z'
'-x+1/2,-y+1/2,z'
'x+1/2,y+1/2,-z'
'y,-x+1/2,z'
'-y,x+1/2,-z'
'x+1/2,-y,-z'
'-x+1/2,y,z'
'-y,-x,-z'
'y,x,z'
'-x,y+1/2,-z'
'x,-y+1/2,z'
'y+1/2,x+1/2,-z'
'-y+1/2,-x+1/2,z'
loop_
_atom_site_label
_atom_site_fract_x
_atom_site_fract_y
_atom_site_fract_z
Zn1 0.250 0.250 0.056
Ge1 0.250 0.250 0.658
S1 0.250 0.250 0.365
O1 0.250 0.750 0.000
# * V: 127 Å³ per cell
# * DFT total energy: -4.392 eV per atom
# * offset from the most stable computed form: 0.236 eV per atom

---

4.
# ZnGeSO PBE-GGA optimized geometry
data_ZnGeSO
_chemical_formula_sum 'Zn4 Ge4 S4 O4'
_space_group_name_H-M_alt 'P 21 21 21'
_space_group_IT_number 19
_cell_length_a 5.553
_cell_length_b 7.293
_cell_length_c 7.729
_cell_angle_alpha 90.00
_cell_angle_beta 90.00
_cell_angle_gamma 90.00
loop_
_space_group_symop_operation_xyz
'x,y,z'
'-x+1/2,-y,z+1/2'
'x+1/2,-y+1/2,-z'
'-x,y+1/2,-z+1/2'
loop_
_atom_site_label
_atom_site_fract_x
_atom_site_fract_y
_atom_site_fract_z
Zn1 0.027 0.214 0.373
Ge1 0.018 0.093 0.955
S1 0.201 0.498 0.265
O1 0.171 0.873 0.972
# * V: 313 Å³ per cell
# * DFT total energy: -4.539 eV per atom
# * offset from the most stable computed form: 0.090 eV per atom

---

5.
# ZnGeSO PBE-GGA optimized geometry
data_ZnGeSO
_chemical_formula_sum 'Zn2 Ge2 S2 O2'
_space_group_name_H-M_alt 'P 4/n m m'
_space_group_IT_number 129
_cell_length_a 3.633
_cell_length_b 3.633
_cell_length_c 9.345
_cell_angle_alpha 90.00
_cell_angle_beta 90.00
_cell_angle_gamma 90.00
loop_
_space_group_symop_operation_xyz
'x,y,z'
'-x,-y,-z'
'-y+1/2,x,z'
'y+1/2,-x,-z'
'-x+1/2,-y+1/2,z'
'x+1/2,y+1/2,-z'
'y,-x+1/2,z'
'-y,x+1/2,-z'
'x+1/2,-y,-z'
'-x+1/2,y,z'
'-y,-x,-z'
'y,x,z'
'-x,y+1/2,-z'
'x,-y+1/2,z'
'y+1/2,x+1/2,-z'
'-y+1/2,-x+1/2,z'
loop_
_atom_site_label
_atom_site_fract_x
_atom_site_fract_y
_atom_site_fract_z
Zn1 0.250 0.250 0.114
Ge1 0.250 0.250 0.393
S1 0.250 0.250 0.859
O1 0.250 0.750 0.500
# * V: 123 Å³ per cell
# * DFT total energy: -4.515 eV per atom
# * offset from the most stable computed form: 0.114 eV per atom

---

6.
# ZnGeSO PBE-GGA optimized geometry
data_ZnGeSO
_chemical_formula_sum 'Zn2 Ge2 S2 O2'
_space_group_name_H-M_alt 'P 4/n m m'
_space_group_IT_number 129
_cell_length_a 5.039
_cell_length_b 5.039
_cell_length_c 5.930
_cell_angle_alpha 90.00
_cell_angle_beta 90.00
_cell_angle_gamma 90.00
loop_
_space_group_symop_operation_xyz
'x,y,z'
'-x,-y,-z'
'-y+1/2,x,z'
'y+1/2,-x,-z'
'-x+1/2,-y+1/2,z'
'x+1/2,y+1/2,-z'
'y,-x+1/2,z'
'-y,x+1/2,-z'
'x+1/2,-y,-z'
'-x+1/2,y,z'
'-y,-x,-z'
'y,x,z'
'-x,y+1/2,-z'
'x,-y+1/2,z'
'y+1/2,x+1/2,-z'
'-y+1/2,-x+1/2,z'
loop_
_atom_site_label
_atom_site_fract_x
_atom_site_fract_y
_atom_site_fract_z
Zn1 0.250 0.250 0.166
Ge1 0.250 0.250 0.568
S1 0.250 0.750 0.500
O1 0.250 0.250 0.862
# * V: 151 Å³ per cell
# * DFT total energy: -4.135 eV per atom
# * offset from the most stable computed form: 0.493 eV per atom

---

7.
# ZnGeSO PBE-GGA optimized geometry
data_ZnGeSO
_chemical_formula_sum 'Zn8 Ge8 S8 O8'
_space_group_name_H-M_alt 'P b c a'
_space_group_IT_number 61
_cell_length_a 5.989
_cell_length_b 7.850
_cell_length_c 11.556
_cell_angle_alpha 90.00
_cell_angle_beta 90.00
_cell_angle_gamma 90.00
loop_
_space_group_symop_operation_xyz
'x,y,z'
'-x,-y,-z'
'-x+1/2,-y,z+1/2'
'x+1/2,y,-z+1/2'
'x+1/2,-y+1/2,-z'
'-x+1/2,y+1/2,z'
'-x,y+1/2,-z+1/2'
'x,-y+1/2,z+1/2'
loop_
_atom_site_label
_atom_site_fract_x
_atom_site_fract_y
_atom_site_fract_z
Zn1 0.170 0.132 0.035
Ge1 0.237 0.721 0.232
S1 0.228 0.624 0.434
O1 0.013 0.143 0.757
# * V: 543 Å³ per cell
# * DFT total energy: -4.520 eV per atom
# * offset from the most stable computed form: 0.109 eV per atom

---

8.
# TmGe2SbO6 PBE-GGA optimized geometry
data_TmGe2SbO6
_chemical_formula_sum 'Tm4 Ge8 Sb4 O24'
_space_group_name_H-M_alt 'C 1 2/c 1'
_space_group_IT_number 15
_cell_length_a 10.145
_cell_length_b 5.672
_cell_length_c 9.777
_cell_angle_alpha 90.00
_cell_angle_beta 106.82
_cell_angle_gamma 90.00
loop_
_space_group_symop_operation_xyz
'x,y,z'
'-x,-y,-z'
'-x,y,-z+1/2'
'x,-y,z+1/2'
'x+1/2,y+1/2,z'
'-x+1/2,-y+1/2,-z'
'-x+1/2,y+1/2,-z+1/2'
'x+1/2,-y+1/2,z+1/2'
loop_
_atom_site_label
_atom_site_fract_x
_atom_site_fract_y
_atom_site_fract_z
Tm1 0.000 0.233 0.250
Ge1 0.147 0.334 0.641
Sb1 0.250 0.250 0.000
O1 0.097 0.324 0.084
O2 0.155 0.456 0.833
O3 0.171 0.034 0.382
# * V: 539 Å³ per cell
# * DFT total energy: -6.574 eV per atom

---

9.
# Sm4GeO3 PBE-GGA optimized geometry
data_Sm4GeO3
_chemical_formula_sum 'Sm8 Ge2 O6'
_space_group_name_H-M_alt 'I 4/m m m'
_space_group_IT_number 139
_space_group_name_Hall '-I 4 2'
_cell_length_a 5.310
_cell_length_b 5.310
_cell_length_c 10.350
_cell_angle_alpha 90.00
_cell_angle_beta 90.00
_cell_angle_gamma 90.00
loop_
_atom_site_label
_atom_site_fract_x
_atom_site_fract_y
_atom_site_fract_z
Sm1 0.000 0.000 0.232
Sm2 0.000 0.500 0.000
Ge1 0.000 0.000 0.500
O1 0.000 0.000 0.000
O2 0.000 0.500 0.250
# * V: 292 Å³ per cell
# * DFT total energy: -6.891 eV per atom

---

10.
# ZrSnGe2O7 PBE-GGA optimized geometry
data_ZrSnGe2O7
_chemical_formula_sum 'Zr2 Sn2 Ge4 O14'
_space_group_name_H-M_alt 'C 1 2 1'
_space_group_IT_number 5
_cell_length_a 7.136
_cell_length_b 8.723
_cell_length_c 4.884
_cell_angle_alpha 90.00
_cell_angle_beta 100.41
_cell_angle_gamma 90.00
loop_
_space_group_symop_operation_xyz
'x,y,z'
'-x,y,-z'
'x+1/2,y+1/2,z'
'-x+1/2,y+1/2,-z'
loop_
_atom_site_label
_atom_site_fract_x
_atom_site_fract_y
_atom_site_fract_z
Zr1 0.000 0.000 0.000
Sn1 0.000 0.407 0.000
Ge1 0.221 0.684 0.433
O1 0.000 0.613 0.500
O2 0.122 0.200 0.248
O3 0.191 0.849 0.226
O4 0.202 0.030 0.753
# * V: 299 Å³ per cell
# * DFT total energy: -7.133 eV per atom

---

11.
# SrTa2GeO8 PBE-GGA optimized geometry
data_SrTa2GeO8
_chemical_formula_sum 'Sr2 Ta4 Ge2 O16'
_space_group_name_H-M_alt 'C 1 2/m 1'
_space_group_IT_number 12
_cell_length_a 8.185
_cell_length_b 5.759
_cell_length_c 7.113
_cell_angle_alpha 90.00
_cell_angle_beta 94.17
_cell_angle_gamma 90.00
loop_
_space_group_symop_operation_xyz
'x,y,z'
'-x,-y,-z'
'-x,y,-z'
'x,-y,z'
'x+1/2,y+1/2,z'
'-x+1/2,-y+1/2,-z'
'-x+1/2,y+1/2,-z'
'x+1/2,-y+1/2,z'
loop_
_atom_site_label
_atom_site_fract_x
_atom_site_fract_y
_atom_site_fract_z
Sr1 0.000 0.000 0.000
Ta1 0.120 0.500 0.284
Ge1 0.000 0.000 0.500
O1 0.007 0.228 0.697
O2 0.194 0.500 0.050
O3 0.226 0.000 0.512
# * V: 334 Å³ per cell
# * DFT total energy: -8.294 eV per atom

---

12.
# TaGeO3 PBE-GGA optimized geometry
data_TaGeO3
_chemical_formula_sum 'Ta6 Ge6 O18'
_space_group_name_H-M_alt 'R -3'
_space_group_IT_number 148
_space_group_name_Hall '-R 3'
_cell_length_a 5.1534
_cell_length_b 5.1534
_cell_length_c 17.0260
_cell_angle_alpha 90.00
_cell_angle_beta 90.00
_cell_angle_gamma 120.00
loop_
_atom_site_label
_atom_site_fract_x
_atom_site_fract_y
_atom_site_fract_z
Ta1 0.0000 0.0000 0.1660
Ge1 0.0000 0.0000 0.3735
O1 0.0016 0.6643 0.2321
# * V: 392 Å³ per cell
# * DFT total energy: -8.157 eV per atom